Entry from Alexandria: a relaxed structure of Ba2TlAg (PBE-GGA).

## Properties
DFT formation energy	-0.19	eV per formula unit
calculated density	5732	kg/m3
E_tot	-37.02	eV per cell
crystal system	tetragonal

Structure (CIF):
```
data_Ba2TlAg
_cell_length_a 9.250
_cell_length_b 9.250
_cell_length_c 7.948
_cell_angle_alpha 90.00
_cell_angle_beta 90.00
_cell_angle_gamma 90.00
_symmetry_space_group_name_H-M 'I -4 2 d'
_symmetry_Int_Tables_number 122
_symmetry_space_group_name_Hall 'I -4 2bw'
loop_
_atom_site_label
_atom_site_type_symbol
_atom_site_fract_x
_atom_site_fract_y
_atom_site_fract_z
Ba1 Ba 0.226 0.750 0.125
Tl1 Tl 0.000 0.000 0.500
Ag1 Ag 0.000 0.000 0.000
```


Entry from Alexandria: a relaxed structure of La2Sm6Ga (PBE-GGA).

## Properties
DFT formation energy	0.27	eV per formula unit
calculated density	6854	kg/m3
E_tot	-81.86	eV per cell
crystal system	monoclinic

Structure (CIF):
```
data_La2Sm6Ga
_cell_length_a 17.559
_cell_length_b 9.620
_cell_length_c 3.585
_cell_angle_alpha 90.00
_cell_angle_beta 90.92
_cell_angle_gamma 90.00
_symmetry_space_group_name_H-M 'C 1 2/m 1'
_symmetry_Int_Tables_number 12
_symmetry_space_group_name_Hall '-C 2y'
loop_
_atom_site_label
_atom_site_type_symbol
_atom_site_fract_x
_atom_site_fract_y
_atom_site_fract_z
La1 La 0.170 0.000 0.487
Sm1 Sm 0.000 0.232 0.500
Sm2 Sm 0.163 0.332 0.996
Ga1 Ga 0.000 0.500 0.000
```


Entry from Alexandria: a relaxed structure of Nd3Ho4Th2 (PBE-GGA).

## Properties
DFT formation energy	0.33	eV per formula unit
calculated density	8783	kg/m3
E_tot	-94.24	eV per cell
crystal system	triclinic

Structure (CIF):
```
data_Nd3Ho4Th2
_cell_length_a 7.150
_cell_length_b 8.079
_cell_length_c 10.750
_cell_angle_alpha 103.11
_cell_angle_beta 90.27
_cell_angle_gamma 102.88
_symmetry_space_group_name_H-M 'P -1'
_symmetry_Int_Tables_number 2
_symmetry_space_group_name_Hall '-P 1'
loop_
_atom_site_label
_atom_site_type_symbol
_atom_site_fract_x
_atom_site_fract_y
_atom_site_fract_z
Nd1 Nd 0.079 0.321 0.055
Nd2 Nd 0.090 0.337 0.725
Nd3 Nd 0.256 0.001 0.503
Ho1 Ho 0.085 0.334 0.388
Ho2 Ho 0.256 0.002 0.167
Ho3 Ho 0.420 0.673 0.945
Ho4 Ho 0.421 0.665 0.278
Th1 Th 0.251 0.994 0.832
Th2 Th 0.415 0.662 0.612
```